No. 1
Below is an optimized crystal structure of Zn9CdGa4, with properties calculated at the PBE level.

## Properties
total moment	0.00	μB/atom
SG	I4/mcm
ΔH_f (0 K)	0.08	eV/atom

Lattice parameters (Å, degrees): 8.8609 8.8609 8.8609 118.83 118.83 92.03
Fractional positions:
Zn 0.0000 0.5000 0.5000
Zn 0.0463 0.8023 0.8486
Zn 0.0598 0.5598 0.2705
Zn 0.1977 0.0463 0.2441
Zn 0.2107 0.9402 0.5000
Zn 0.2893 0.7893 0.7295
Zn 0.3023 0.5463 0.8486
Zn 0.4402 0.7107 0.5000
Zn 0.4537 0.3023 0.7559
Zn 0.5000 0.0000 0.5000
Zn 0.5463 0.6977 0.2441
Zn 0.5598 0.2893 0.5000
Zn 0.6977 0.4537 0.1514
Zn 0.7107 0.2107 0.2705
Zn 0.7893 0.0598 0.5000
Zn 0.8023 0.9537 0.7559
Zn 0.9402 0.4402 0.7295
Zn 0.9537 0.1977 0.1514
Cd 0.2500 0.2500 0.0000
Cd 0.7500 0.7500 0.0000
Ga 0.0601 0.1862 0.5000
Ga 0.1862 0.6862 0.1261
Ga 0.3138 0.4399 0.5000
Ga 0.4399 0.9399 0.1261
Ga 0.5601 0.0601 0.8739
Ga 0.6862 0.5601 0.5000
Ga 0.8138 0.3138 0.8739
Ga 0.9399 0.8138 0.5000


No. 2
Below is an optimized crystal structure of Zn2CdGa2, with properties calculated at the PBE level.

## Properties
distance to the lowest polymorph of the same formula	2.3	kJ per mole of atoms
total moment	0.00	μB/atom
SG	P4/mbm
ΔH_f (0 K)	0.08	eV/atom

Lattice parameters (Å, degrees): 7.4527 7.4527 3.3973 90.00 90.00 90.00
Fractional positions:
Zn 0.1234 0.3766 0.0000
Zn 0.3766 0.8766 0.0000
Zn 0.6234 0.1234 0.0000
Zn 0.8766 0.6234 0.0000
Cd 0.0000 0.0000 0.0000
Cd 0.5000 0.5000 0.0000
Ga 0.1771 0.6771 0.5000
Ga 0.3229 0.1771 0.5000
Ga 0.6771 0.8229 0.5000
Ga 0.8229 0.3229 0.5000


No. 3
Below is an optimized crystal structure of ZnCdGa2, with properties calculated at the PBE level.

## Properties
distance to the lowest polymorph of the same formula	4.4	kJ per mole of atoms
total moment	0.00	μB/atom
SG	R-3m
ΔH_f (0 K)	0.08	eV/atom

Lattice parameters (Å, degrees): 9.9614 9.9614 9.9614 17.66 17.66 17.66
Fractional positions:
Zn 0.0000 0.0000 0.0000
Cd 0.5000 0.5000 0.5000
Ga 0.4047 0.4047 0.4047
Ga 0.5953 0.5953 0.5953


No. 4
Below is an optimized crystal structure of Zn2CdGa2, with properties calculated at the PBE level.

## Properties
distance to the lowest polymorph of the same formula	0.4	kJ per mole of atoms
total moment	0.00	μB/atom
SG	I4/mmm
ΔH_f (0 K)	0.06	eV/atom

Lattice parameters (Å, degrees): 6.7234 6.7234 6.7234 146.04 146.04 48.78
Fractional positions:
Zn 0.1010 0.1010 0.0000
Zn 0.8990 0.8990 0.0000
Cd 0.5000 0.5000 0.0000
Ga 0.2500 0.7500 0.5000
Ga 0.7500 0.2500 0.5000


No. 5
Below is an optimized crystal structure of ZnCdGa2, with properties calculated at the PBE level.

## Properties
distance to the lowest polymorph of the same formula	3.3	kJ per mole of atoms
total moment	0.00	μB/atom
SG	P4/mmm
ΔH_f (0 K)	0.07	eV/atom

Lattice parameters (Å, degrees): 4.2152 4.2152 4.3526 90.00 90.00 90.00
Fractional positions:
Zn 0.0000 0.0000 0.0000
Cd 0.5000 0.5000 0.0000
Ga 0.0000 0.5000 0.5000
Ga 0.5000 0.0000 0.5000


No. 6
Below is an optimized crystal structure of Zn4CdGa, with properties calculated at the PBE level.

## Properties
distance to the lowest polymorph of the same formula	1.4	kJ per mole of atoms
total moment	0.00	μB/atom
SG	Cmcm
ΔH_f (0 K)	0.08	eV/atom

Lattice parameters (Å, degrees): 8.0009 8.0009 6.9462 90.00 90.00 151.20
Fractional positions:
Zn 0.0000 0.0000 0.0000
Zn 0.0000 0.0000 0.5000
Zn 0.1657 0.8343 0.5592
Zn 0.1657 0.8343 0.9408
Zn 0.4275 0.5725 0.2500
Zn 0.5725 0.4275 0.7500
Zn 0.8343 0.1657 0.0592
Zn 0.8343 0.1657 0.4408
Cd 0.3950 0.6050 0.7500
Cd 0.6050 0.3950 0.2500
Ga 0.2530 0.7470 0.2500
Ga 0.7470 0.2530 0.7500


No. 7
Below is an optimized crystal structure of Zn2Cd3Ga9, with properties calculated at the PBE level.

## Properties
total moment	0.00	μB/atom
SG	P-1
ΔH_f (0 K)	0.05	eV/atom

Lattice parameters (Å, degrees): 4.2225 7.8175 8.6830 93.35 101.35 98.73
Fractional positions:
Zn 0.0346 0.1515 0.3353
Zn 0.9654 0.8485 0.6647
Cd 0.1990 0.2232 0.7039
Cd 0.5000 0.5000 0.0000
Cd 0.8010 0.7768 0.2961
Ga 0.0611 0.7706 0.9912
Ga 0.1433 0.4904 0.2549
Ga 0.3412 0.6387 0.5597
Ga 0.4377 0.0604 0.1503
Ga 0.5000 0.0000 0.5000
Ga 0.5623 0.9396 0.8497
Ga 0.6588 0.3613 0.4403
Ga 0.8567 0.5096 0.7451
Ga 0.9389 0.2294 0.0088


No. 8
Below is an optimized crystal structure of ZrZnCdGa, with properties calculated at the PBE level.

## Properties
total moment	0.00	μB/atom
SG	Pmmm
ΔH_f (0 K)	-0.33	eV/atom

Lattice parameters (Å, degrees): 4.0348 4.1826 4.3736 90.00 90.00 90.00
Fractional positions:
Zr 0.0000 0.0000 0.0000
Zn 0.5000 0.0000 0.5000
Cd 0.0000 0.5000 0.5000
Ga 0.5000 0.5000 0.0000